(1)
First-principles (PBE) data for a geometry-optimized K2ZnGa structure, as listed in Alexandria.

## Properties
Energy above the most stable polymorph in this dataset   250 meV per atom
N(E_F)   16.780 states/eV per cell
E_form   261 meV per atom

abc: 8.266 8.266 8.266
angles: 90.00 90.00 90.00
Space group Fm-3m (No. 225)
One atom of each set of equivalent atoms:
K (0.250, 0.250, 0.250)
Zn (0.000, 0.000, 0.000)
Ga (0.000, 0.000, 0.500)



(2)
First-principles (PBE) data for a geometry-optimized K3Zn2Ga4 structure, as listed in Alexandria.

## Properties
N(E_F)   1.784 states/eV per cell
E_form   -57 meV per atom

abc: 4.416 6.770 9.593
angles: 100.75 103.29 109.01
Space group P-1 (No. 2)
One atom of each set of equivalent atoms:
K (0.000, 0.000, 0.000)
K (0.256, 0.883, 0.630)
Zn (0.103, 0.435, 0.770)
Ga (0.345, 0.607, 0.083)
Ga (0.460, 0.550, 0.372)



(3)
First-principles (PBE) data for a geometry-optimized KZnGa3 structure, as listed in Alexandria.

## Properties
Energy above the most stable polymorph in this dataset   1231 meV per atom
N(E_F)   7.805 states/eV per cell
E_form   1133 meV per atom

abc: 5.930 5.930 5.930
angles: 90.00 90.00 90.00
Space group Pm-3m (No. 221)
One atom of each set of equivalent atoms:
K (0.000, 0.000, 0.000)
Zn (0.500, 0.500, 0.500)
Ga (0.000, 0.000, 0.500)



(4)
First-principles (PBE) data for a geometry-optimized KZnGa2 structure, as listed in Alexandria.

## Properties
N(E_F)   4.188 states/eV per cell
E_form   -56 meV per atom

abc: 4.3538 4.3538 19.4435
angles: 90.00 90.00 120.00
Space group R-3m (No. 166, hexagonal axes)
One atom of each set of equivalent atoms:
K (0.0000, 0.0000, 0.0000)
Zn (0.0000, 0.0000, 0.5000)
Ga (0.0000, 0.0000, 0.2048)



(5)
First-principles (PBE) data for a geometry-optimized KZrZnGa2 structure, as listed in Alexandria.

## Properties
N(E_F)   4.582 states/eV per cell
E_form   1623 meV per atom

abc: 5.393 5.393 5.311
angles: 90.00 90.00 90.00
Space group P4/mmm (No. 123)
One atom of each set of equivalent atoms:
K (0.000, 0.000, 0.000)
Zr (0.000, 0.000, 0.500)
Zn (0.500, 0.500, 0.500)
Ga (0.000, 0.500, 0.000)



(6)
First-principles (PBE) data for a geometry-optimized KZrGa2 structure, as listed in Alexandria.

## Properties
Energy above the most stable polymorph in this dataset   0 meV per atom
N(E_F)   20.368 states/eV per cell
E_form   271 meV per atom

abc: 7.190 7.190 7.190
angles: 90.00 90.00 90.00
Space group Fm-3m (No. 225)
One atom of each set of equivalent atoms:
K (0.000, 0.000, 0.000)
Zr (0.000, 0.000, 0.500)
Ga (0.250, 0.250, 0.250)



(7)
First-principles (PBE) data for a geometry-optimized KZrGa structure, as listed in Alexandria.

## Properties
Energy above the most stable polymorph in this dataset   14 meV per atom
N(E_F)   3.367 states/eV per cell
E_form   -114 meV per atom

abc: 3.653 4.318 12.670
angles: 80.43 89.89 90.00
Space group P1 (No. 1)
One atom of each set of equivalent atoms:
K (0.000, 0.000, 0.000)
K (0.490, 0.333, 0.320)
Zr (0.499, 0.712, 0.565)
Zr (0.998, 0.619, 0.755)
Ga (0.498, 0.125, 0.743)
Ga (0.999, 0.206, 0.576)



(8)
First-principles (PBE) data for a geometry-optimized KZrGa structure, as listed in Alexandria.

## Properties
Energy above the most stable polymorph in this dataset   321 meV per atom
N(E_F)   9.104 states/eV per cell
E_form   192 meV per atom

abc: 13.897 5.454 5.151
angles: 90.00 90.00 90.00
Space group Pnma (No. 62)
One atom of each set of equivalent atoms:
K (0.228, 0.250, 0.002)
Zr (0.001, 0.250, 0.500)
Ga (0.000, 0.000, 0.000)



Which of these has the highest N(E_F)?
KZrGa2



E_form of number 2 (K3Zn2Ga4)?
-57 meV per atom



Among the records above, which one has the highest N(E_F)?
KZrGa2